{"formula": "Pa2Ge2Ru", "functional": "PBE", "state": "relaxed", "total_magnetization_mub_per_cell": 0.00, "dos_ef_per_ev_atom": 0.977, "space_group": "Cmc2_1", "relative_energy_mev_per_atom": 133, "e_form_ev_per_fu": -2.10, "lattice_angstrom": [[2.1709, -7.3176, 0.0000], [2.1709, 7.3176, 0.0000], [0.0000, 0.0000, 6.9373]], "species": ["Pa", "Pa", "Pa", "Pa", "Ge", "Ge", "Ge", "Ge", "Ru", "Ru"], "fractional_positions": [[0.0113, 0.9887, 0.5000], [0.2169, 0.7831, 0.8483], [0.7831, 0.2169, 0.3483], [0.9887, 0.0113, 0.0000], [0.1660, 0.8340, 0.2515], [0.4194, 0.5806, 0.2595], [0.5806, 0.4194, 0.7595], [0.8340, 0.1660, 0.7515], [0.4038, 0.5962, 0.6329], [0.5962, 0.4038, 0.1329]]}